Cd3MoO6: optimized geometry, PBE with a Hubbard U.

As for the density of states at the Fermi level: 0.00 states/eV per cell. Its total energy is -5.20 eV per atom.

Cell and atoms, written as CIF:
```
data_Cd3MoO6
_cell_length_a 5.595
_cell_length_b 5.708
_cell_length_c 9.854
_cell_angle_alpha 90.00
_cell_angle_beta 123.88
_cell_angle_gamma 90.00
_space_group_name_H-M_alt 'P 1 21/c 1'
_space_group_IT_number 14
loop_
_space_group_symop_operation_xyz
'x,y,z'
'-x,-y,-z'
'-x,y+1/2,-z+1/2'
'x,-y+1/2,z+1/2'
loop_
_atom_site_label
_atom_site_type_symbol
_atom_site_fract_x
_atom_site_fract_y
_atom_site_fract_z
Cd1 Cd 0.000 0.000 0.000
Cd2 Cd 0.247 0.043 0.744
Mo1 Mo 0.500 0.000 0.500
O1 O 0.164 0.073 0.275
O2 O 0.254 0.666 0.048
O3 O 0.423 0.214 0.076
```